# 1
Pm2GaHPt6 | GGA-PBE | relaxed

Calculated values
- Space-group type: No. 166

Cell and atoms, written as POSCAR:
```
Pm2GaHPt6
1.0
2.851 1.646 6.190
-2.851 1.646 6.190
0.000 -3.292 6.190
Pm Ga H Pt
2 1 1 6
Direct
0.217 0.217 0.217
0.783 0.783 0.783
0.500 0.500 0.500
0.000 0.000 0.000
0.231 0.231 0.727
0.231 0.727 0.231
0.273 0.769 0.769
0.727 0.231 0.231
0.769 0.273 0.769
0.769 0.769 0.273
```

# 2
PmGaHPt2 | GGA-PBE | relaxed

Calculated values
- Space-group type: No. 63

Cell and atoms, written as POSCAR:
```
PmGaHPt2
1.0
1.957 -5.510 0.000
1.957 5.510 0.000
0.000 0.000 7.478
Pm Ga H Pt
2 2 2 4
Direct
0.052 0.948 0.750
0.948 0.052 0.250
0.231 0.769 0.250
0.769 0.231 0.750
0.500 0.500 0.000
0.500 0.500 0.500
0.345 0.655 0.556
0.345 0.655 0.944
0.655 0.345 0.056
0.655 0.345 0.444
```

# 3
PmGaHRh2 | GGA-PBE | relaxed

Calculated values
- Space-group type: No. 63

Cell and atoms, written as POSCAR:
```
PmGaHRh2
1.0
1.895 -5.570 0.000
1.895 5.570 0.000
0.000 0.000 7.329
Pm Ga H Rh
2 2 2 4
Direct
0.049 0.951 0.750
0.951 0.049 0.250
0.228 0.772 0.250
0.772 0.228 0.750
0.500 0.500 0.000
0.500 0.500 0.500
0.347 0.653 0.550
0.347 0.653 0.950
0.653 0.347 0.050
0.653 0.347 0.450
```

Number 1: calculated total energy -60.3 eV per cell. Number 2: calculated total energy -55.1 eV per cell. Number 3: calculated total energy -58.3 eV per cell.